Record 1
# CaSe3O (PBE-GGA, optimized geometry)
# Mass density = 3026 kg/m3
# Crystal system = cubic
# Total energy = -2.635 eV/atom
# Excess energy over the best structure of this formula in the dataset = 6.529 eV/f.u.
# E_form (uncorrected) = 0.85 eV/atom
# Space-group type = Pm-3m, No. 221
# Volume = 32.15 Å³/atom
data_CaSe3O
_cell_length_a 5.437
_cell_length_b 5.437
_cell_length_c 5.437
_cell_angle_alpha 90.00
_cell_angle_beta 90.00
_cell_angle_gamma 90.00
_space_group_name_H-M_alt 'P 1'
_space_group_IT_number 1
loop_
_space_group_symop_operation_xyz
'x,y,z'
loop_
_atom_site_label
_atom_site_type_symbol
_atom_site_fract_x
_atom_site_fract_y
_atom_site_fract_z
Se1 Se 0.000 0.000 0.500
Se2 Se 0.500 0.000 0.000
Se3 Se 0.000 0.500 0.000
Ca1 Ca 0.000 0.000 0.000
O1 O 0.500 0.500 0.500

---

Record 2
# InOs2Ru (PBE-GGA, optimized geometry)
# Mass density = 15864 kg/m3
# Energy relative to the elements = 0.381 eV per atom
# Crystal system = monoclinic
# Total energy = -8.238 eV/atom
# Space-group type = C2/m, No. 12
# Volume = 15.61 Å³/atom
data_InOs2Ru
_cell_length_a 4.876
_cell_length_b 4.876
_cell_length_c 4.814
_cell_angle_alpha 80.25
_cell_angle_beta 80.25
_cell_angle_gamma 33.65
_space_group_name_H-M_alt 'P 1'
_space_group_IT_number 1
loop_
_space_group_symop_operation_xyz
'x,y,z'
loop_
_atom_site_label
_atom_site_type_symbol
_atom_site_fract_x
_atom_site_fract_y
_atom_site_fract_z
In1 In 0.750 0.750 0.750
Ru1 Ru 0.250 0.250 0.250
Os1 Os 0.988 0.988 0.023
Os2 Os 0.512 0.512 0.477